# CrSi2Br

CrSi2Br after structural relaxation (PBE, Alexandria).

a b c (Å): 6.3326 6.3326 6.3326
angles (deg): 90.00 90.00 90.00
Closest atoms and distances in Å follow each position.
Space group Fm-3m (No. 225)
Inequivalent atoms, fractional coordinates:
Cr 0.0000 0.0000 0.0000 (multiplicity 4)  8 Si 2.74
Si 0.2500 0.2500 0.2500 (multiplicity 8)  4 Cr 2.74, 4 Br 2.74
Br 0.0000 0.0000 0.5000 (multiplicity 4)  8 Si 2.74

Results
Formation energy without anion corrections ... 4.724 eV per formula unit
Total DFT energy (no corrections) ... -4.355 eV/atom
D(E_F) ... 23.26 states/eV/cell
Theoretical density ... 4.92 g/cm³